[1]
First-principles (GGA-PBE) data for a relaxed structure of Pm2Tl3Hg3, as listed in Alexandria.

Values from the calculation:
Formation energy from the elements in eV/atom: -0.32
M_tot in Bohr magnetons per cell: 0.00
Energy in eV for the cell shown: -20.08
DOS at the Fermi energy in states/eV/atom: 0.524

abc: 4.729 4.780 9.371
angles: 90.00 90.00 90.00
Space group Pmmm (No. 47)
Asymmetric unit:
Pm 0.000 0.000 0.248 [2 per cell]
Tl 0.000 0.500 0.500 [1 per cell]
Tl 0.500 0.000 0.000 [1 per cell]
Tl 0.500 0.000 0.500 [1 per cell]
Hg 0.000 0.500 0.000 [1 per cell]
Hg 0.500 0.500 0.248 [2 per cell]

---

[2]
First-principles (GGA-PBE) data for a relaxed structure of Tb5SmIn3, as listed in Alexandria.

Values from the calculation:
Formation energy from the elements in eV/atom: -0.35
M_tot in Bohr magnetons per cell: 1.60
Energy in eV for the cell shown: -78.52
DOS at the Fermi energy in states/eV/atom: 1.253

abc: 9.4140 9.4140 6.7604
angles: 90.00 90.00 120.00
Space group P6_3/mcm (No. 193)
Asymmetric unit:
Tb 0.0000 0.3317 0.2500 [6 per cell]
Tb 0.3333 0.6667 0.0000 [4 per cell]
Sm 0.0000 0.0000 0.0000 [2 per cell]
In 0.0000 0.3368 0.7500 [6 per cell]

---

[3]
First-principles (GGA-PBE) data for a relaxed structure of ReSi2Rh, as listed in Alexandria.

Values from the calculation:
Formation energy without anion corrections in meV per atom: -447
M_tot in Bohr magnetons per cell: 0.00
Energy above the lowest structure with this stoichiometry in meV per atom: 0.0
Energy in eV for the cell shown: -32.43
DOS at the Fermi energy in states/eV/atom: 0.322

abc: 4.167 4.167 3.027
angles: 90.00 90.00 90.00
Space group P4/mmm (No. 123)
Asymmetric unit:
Re 0.000 0.000 0.000 [1 per cell]
Si 0.000 0.500 0.500 [2 per cell]
Rh 0.500 0.500 0.000 [1 per cell]

---

[4]
First-principles (GGA-PBE) data for a relaxed structure of TiTeRu3, as listed in Alexandria.

Values from the calculation:
Formation energy without anion corrections in meV per atom: 1059
M_tot in Bohr magnetons per cell: 0.00
Energy above the lowest structure with this stoichiometry in meV per atom: 0.0
Energy in eV for the cell shown: -33.57
DOS at the Fermi energy in states/eV/atom: 1.400

abc: 4.571 4.571 4.571
angles: 90.00 90.00 90.00
Space group Pm-3m (No. 221)
Asymmetric unit:
Ti 0.000 0.000 0.000 [1 per cell]
Te 0.500 0.500 0.500 [1 per cell]
Ru 0.000 0.000 0.500 [3 per cell]